Entry 1:
A plane-wave DFT calculation with PBE-GGA was carried out for an optimized crystal structure of TlMoH2Cl8.

Structure (extended XYZ):
```
12
Lattice="-5.4398 -4.0834 -0.5442 3.8086 -6.1663 -1.2406 -2.5027 2.5142 8.0604" Properties=species:S:1:pos:R:3 pbc="T T T"
Tl -1.2514 1.2571 4.0302
Mo 0.0000 0.0000 0.0000
H -1.5603 -2.4565 4.6359
H -2.5737 -5.2789 1.6396
Cl 1.8595 -5.2399 -0.2969
Cl -3.3172 -5.6167 5.8841
Cl -4.3996 -4.0798 1.6247
Cl -5.9935 -2.4956 6.5724
Cl -0.8168 -2.1187 0.3914
Cl 0.2656 -3.6556 4.6508
Cl -1.4933 -6.0247 1.6722
Cl -2.6407 -1.7107 4.6033
```

Properties
Electronic total energy, eV for the cell shown: -43.717
Volume, Å³ per atom: 30.8

Entry 2:
A plane-wave DFT calculation with PBE-GGA was carried out for an optimized crystal structure of Ce2GdHo.

Structure (extended XYZ):
```
4
Lattice="5.0802 0.0000 0.0000 0.0000 4.9000 0.0000 0.0000 0.0000 4.9000" Properties=species:S:1:pos:R:3 pbc="T T T"
Gd 2.5401 0.0000 0.0000
Ho 2.5401 2.4500 2.4500
Ce 0.0000 0.0000 2.4500
Ce 0.0000 2.4500 0.0000
```

Properties
Energy relative to the elements, eV/atom: 0.109
Volume, Å³ per atom: 30.5

Entry 3:
A plane-wave DFT calculation with PBE-GGA was carried out for an optimized crystal structure of SiI2Cl2.

Structure (extended XYZ):
```
5
Lattice="3.7451 0.0000 0.0000 0.0000 3.7451 0.0000 1.8725 1.8725 11.9734" Properties=species:S:1:pos:R:3 pbc="T T T"
I 1.8725 1.8725 1.8029
I 3.7451 3.7451 10.1705
Si 0.0000 0.0000 0.0000
Cl 3.7451 1.8725 5.9867
Cl 1.8725 3.7451 5.9867
```

Properties
Volume, Å³ per atom: 33.6
Formation energy (no corrections), eV per atom: 0.3326

Entry 4:
A plane-wave DFT calculation with PBE-GGA was carried out for an optimized crystal structure of CeHf2NiN4.

Structure (extended XYZ):
```
16
Lattice="-0.4304 -3.2005 -0.2965 4.5203 0.7301 3.2917 -6.5130 0.0483 8.9331" Properties=species:S:1:pos:R:3 pbc="T T T"
Ce -3.9617 -0.1503 7.3738
Ce 1.5386 -2.2718 4.5545
Hf -0.4594 -0.6128 7.2820
Hf 0.5571 -1.8280 1.1888
Hf -1.9637 -1.8093 4.6463
Hf -2.9802 -0.5941 10.7395
Ni -2.1646 -2.1573 8.6949
Ni -0.2586 -0.2648 3.2334
N 1.5971 -0.4643 2.6936
N -2.2172 -1.9712 6.7617
N -4.0203 -1.9578 9.2347
N -0.2060 -0.4509 5.1666
N -3.2565 0.0241 4.4665
N 0.0000 0.0000 0.0000
N -1.0108 -0.7468 9.5285
N -1.4123 -1.6753 2.3998
```

Properties
Volume, Å³ per atom: 12.1
Formation energy (no corrections), eV per atom: -1.4319